# La4SmN4 | Alexandria | PBE | relaxed
data_La4SmN4
_cell_length_a 12.3491
_cell_length_b 3.6930
_cell_length_c 9.2335
_cell_angle_alpha 90.00
_cell_angle_beta 120.17
_cell_angle_gamma 90.00
_space_group_name_H-M_alt 'C 1 2/m 1'
_space_group_IT_number 12
_space_group_name_Hall '-C 2y'
loop_
_atom_site_label
_atom_site_type_symbol
_atom_site_fract_x
_atom_site_fract_y
_atom_site_fract_z
_atom_site_occupancy
La1 La 0.1044 0.0000 0.3802 1
La2 La 0.2059 0.5000 0.8131 1
Sm1 Sm 0.0000 0.5000 0.0000 1
N1 N 0.1023 0.0000 0.9097 1
N2 N 0.1920 0.5000 0.2990 1
# Relative energy among the computed polymorphs = 0 meV/atom

---

# La4SmN4 | Alexandria | PBE | relaxed
data_La4SmN4
_cell_length_a 6.0979
_cell_length_b 6.0979
_cell_length_c 11.1298
_cell_angle_alpha 90.00
_cell_angle_beta 90.00
_cell_angle_gamma 90.00
_space_group_name_H-M_alt 'I -4 2 m'
_space_group_IT_number 121
_space_group_name_Hall 'I -4 2'
loop_
_atom_site_label
_atom_site_type_symbol
_atom_site_fract_x
_atom_site_fract_y
_atom_site_fract_z
_atom_site_occupancy
La1 La 0.0000 0.0000 0.2081 1
La2 La 0.0000 0.5000 0.0000 1
Sm1 Sm 0.0000 0.0000 0.5000 1
N1 N 0.2382 0.2382 0.6151 1
# Relative energy among the computed polymorphs = 467 meV/atom

---

This record from Alexandria describes La5SmN4 after structural relaxation. The functional is PBE.

CIF file:
```
data_La5SmN4
_cell_length_a 16.1752
_cell_length_b 3.6691
_cell_length_c 7.6125
_cell_angle_alpha 90.00
_cell_angle_beta 102.35
_cell_angle_gamma 90.00
_space_group_name_H-M_alt 'C 1 2/m 1'
_space_group_IT_number 12
_space_group_name_Hall '-C 2y'
loop_
_atom_site_label
_atom_site_type_symbol
_atom_site_fract_x
_atom_site_fract_y
_atom_site_fract_z
_atom_site_occupancy
La1 La 0.0000 0.0000 0.0000 1
La2 La 0.1555 0.5000 0.7991 1
La3 La 0.1630 0.5000 0.3478 1
Sm1 Sm 0.0000 0.0000 0.5000 1
N1 N 0.0012 0.5000 0.7436 1
N2 N 0.1625 0.0000 0.5771 1
```

---

This record from Alexandria describes LaSm2N2 after structural relaxation. The functional is PBE.

CIF file:
```
data_LaSm2N2
_cell_length_a 3.6399
_cell_length_b 5.1124
_cell_length_c 11.2622
_cell_angle_alpha 90.00
_cell_angle_beta 90.00
_cell_angle_gamma 90.00
_space_group_name_H-M_alt 'I m m m'
_space_group_IT_number 71
_space_group_name_Hall '-I 2 2'
loop_
_atom_site_label
_atom_site_type_symbol
_atom_site_fract_x
_atom_site_fract_y
_atom_site_fract_z
_atom_site_occupancy
La1 La 0.0000 0.0000 0.0000 1
Sm1 Sm 0.0000 0.0000 0.3170 1
N1 N 0.0000 0.5000 0.3246 1
```

---

Number 1: total energy -7.646 eV per atom. Number 2: total energy -7.179 eV per atom. Number 3: total energy -7.357 eV per atom. Number 4: total energy -7.334 eV per atom.